12
Lattice="3.726 -6.452 0.000 3.726 6.452 0.000 -2.484 0.000 7.758" Properties=species:S:1:pos:R:3 comment="PrSm2Tl3Se6, optimized geometry, DFT GGA-PBE" density_g_cm3=6.80 final_energy_ev_per_atom=-4.900 magnetic_moment_mub_per_fu=0.000 space_group=C2/m pbc="T T T"
Pr 0.000 0.000 0.000
Sm 3.726 2.151 0.000
Sm 3.726 -2.151 0.000
Tl 2.484 4.311 3.879
Tl 2.484 0.000 3.879
Tl 2.484 -4.311 3.879
Se 1.260 2.182 1.630
Se 0.036 0.000 6.135
Se 1.260 -2.182 1.630
Se 3.708 2.182 6.128
Se 4.933 0.000 1.622
Se 3.708 -2.182 6.128

---

8
Lattice="7.163 0.000 0.000 0.000 4.094 0.000 -2.348 0.000 6.946" Properties=species:S:1:pos:R:3 comment="PrSm2TmSe4, optimized geometry, DFT GGA-PBE" density_g_cm3=7.55 final_energy_ev_per_atom=-5.854 magnetic_moment_mub_per_fu=0.000 space_group=P2/m pbc="T T T"
Pr 0.000 0.000 0.000
Sm 2.408 0.000 3.473
Sm 3.581 2.047 0.000
Tm -1.174 2.047 3.473
Se 0.002 0.000 5.116
Se 1.177 2.047 1.813
Se 3.638 2.047 5.133
Se 4.814 0.000 1.830